Record 1
Computed, not measured: a relaxed BPd3Se crystal at the PBE level of DFT. Values from VASP.

## Properties
SG = Pm-3m
polymorph energy (0 for the lowest one) = 1197 meV/atom
energy relative to the elements, uncorrected = 1.0410 eV/atom
E_tot = -0.1509 hartree per atom
DOS(E_F) = 1.87 states/eV/f.u.

```
&SYSTEM
  ibrav = 0, nat = 5, ntyp = 3
/
ATOMIC_SPECIES
Pd 106.42 Pd.upf
Se 78.96 Se.upf
B 10.81 B.upf
ATOMIC_POSITIONS angstrom
Pd 0.023 -1.061 2.088
Pd 0.874 -1.933 -0.992
Pd -2.173 -0.789 -0.377
Se 0.000 0.000 0.000
B -1.276 -3.783 0.718
CELL_PARAMETERS angstrom
-4.346 -1.577 -0.754
1.747 -3.866 -1.985
0.046 -2.123 4.175
```



Record 2
Computed, not measured: a relaxed Si2BPdSe crystal at the PBE level of DFT. Values from VASP.

## Properties
SG = P4/mmm
energy relative to the elements, uncorrected = 0.6310 eV/atom
E_tot = -0.1694 hartree per atom
DOS(E_F) = 1.72 states/eV/f.u.

```
&SYSTEM
  ibrav = 0, nat = 5, ntyp = 4
/
ATOMIC_SPECIES
Se 78.96 Se.upf
B 10.81 B.upf
Si 28.09 Si.upf
Pd 106.42 Pd.upf
ATOMIC_POSITIONS angstrom
Se 2.401 1.995 2.401
B 0.000 1.995 0.000
Si 2.401 0.000 0.000
Si 0.000 0.000 2.401
Pd 0.000 0.000 0.000
CELL_PARAMETERS angstrom
4.803 0.000 0.000
0.000 3.990 0.000
0.000 0.000 4.803
```



Record 3
Computed, not measured: a relaxed Tl2BPdSe4 crystal at the PBE level of DFT. Values from VASP.

## Properties
SG = Fddd
energy relative to the elements, uncorrected = -0.1971 eV/atom
E_tot = -0.1475 hartree per atom
DOS(E_F) = 2.35 states/eV/f.u.

```
&SYSTEM
  ibrav = 0, nat = 16, ntyp = 4
/
ATOMIC_SPECIES
Se 78.96 Se.upf
Pd 106.42 Pd.upf
Tl 204.38 Tl.upf
B 10.81 B.upf
ATOMIC_POSITIONS angstrom
Se -1.417 -9.150 8.934
Se 0.076 -6.832 5.234
Se 0.703 -3.542 4.531
Se -0.182 -10.411 11.601
Se 0.162 -7.229 2.061
Se 1.319 -3.287 10.005
Se -0.031 -5.107 7.748
Se -1.968 -3.703 2.780
Pd 0.000 0.000 0.000
Pd -1.264 -7.245 7.311
Tl 0.520 -6.860 10.709
Tl 0.769 -1.535 7.044
Tl -2.606 -3.964 6.196
Tl -3.048 -7.630 3.913
B 0.930 -5.070 5.912
B -2.195 -2.175 1.399
CELL_PARAMETERS angstrom
-4.390 -4.350 2.798
1.503 -6.816 -0.016
2.553 -1.149 10.442
```



Record 4
Computed, not measured: a relaxed V2BPdSe crystal at the PBE level of DFT. Values from VASP.

## Properties
SG = P4/mmm
polymorph energy (0 for the lowest one) = 0 meV/atom
energy relative to the elements, uncorrected = 0.1447 eV/atom
E_tot = -0.2416 hartree per atom
DOS(E_F) = 6.72 states/eV/f.u.

```
&SYSTEM
  ibrav = 0, nat = 5, ntyp = 4
/
ATOMIC_SPECIES
V 50.94 V.upf
Pd 106.42 Pd.upf
Se 78.96 Se.upf
B 10.81 B.upf
ATOMIC_POSITIONS angstrom
V 2.082 0.000 0.000
V 0.000 0.000 2.082
Pd 0.000 2.043 0.000
Se 2.082 2.043 2.082
B 0.000 0.000 0.000
CELL_PARAMETERS angstrom
4.163 0.000 0.000
0.000 4.086 0.000
0.000 0.000 4.163
```



Record 5
Computed, not measured: a relaxed Si2BPd crystal at the PBE level of DFT. Values from VASP.

## Properties
SG = I-42d
energy relative to the elements, uncorrected = 0.1201 eV/atom
E_tot = -0.2043 hartree per atom
DOS(E_F) = 2.11 states/eV/f.u.

```
&SYSTEM
  ibrav = 0, nat = 8, ntyp = 3
/
ATOMIC_SPECIES
B 10.81 B.upf
Si 28.09 Si.upf
Pd 106.42 Pd.upf
ATOMIC_POSITIONS angstrom
B 2.639 5.277 2.267
B 2.639 2.639 0.000
Si 1.655 3.958 1.133
Si 3.622 1.319 1.133
Si 3.958 4.294 3.400
Si 6.597 6.261 3.400
Pd 5.277 2.639 2.267
Pd 0.000 0.000 0.000
CELL_PARAMETERS angstrom
5.277 0.000 0.000
0.000 5.277 0.000
2.639 2.639 4.534
```



Record 6
Computed, not measured: a relaxed Si3BPd crystal at the PBE level of DFT. Values from VASP.

## Properties
SG = Pm-3m
polymorph energy (0 for the lowest one) = 899 meV/atom
energy relative to the elements, uncorrected = 1.4129 eV/atom
E_tot = -0.1549 hartree per atom
DOS(E_F) = 4.82 states/eV/f.u.

```
&SYSTEM
  ibrav = 0, nat = 5, ntyp = 3
/
ATOMIC_SPECIES
Si 28.09 Si.upf
B 10.81 B.upf
Pd 106.42 Pd.upf
ATOMIC_POSITIONS angstrom
Si 0.000 0.000 2.323
Si 2.323 0.000 0.000
Si 0.000 2.323 0.000
B 2.323 2.323 2.323
Pd 0.000 0.000 0.000
CELL_PARAMETERS angstrom
4.646 0.000 0.000
0.000 4.646 0.000
0.000 0.000 4.646
```



Record 7
Computed, not measured: a relaxed SiB2Pd crystal at the PBE level of DFT. Values from VASP.

## Properties
SG = I-42d
energy relative to the elements, uncorrected = 0.4678 eV/atom
E_tot = -0.2030 hartree per atom
DOS(E_F) = 0.23 states/eV/f.u.

```
&SYSTEM
  ibrav = 0, nat = 8, ntyp = 3
/
ATOMIC_SPECIES
Si 28.09 Si.upf
B 10.81 B.upf
Pd 106.42 Pd.upf
ATOMIC_POSITIONS angstrom
Si 2.359 4.719 2.439
Si 2.359 2.359 0.000
B 1.234 3.539 1.219
B 3.485 1.180 1.219
B 3.539 3.594 3.658
B 5.899 5.844 3.658
Pd 0.000 0.000 0.000
Pd 4.719 2.359 2.439
CELL_PARAMETERS angstrom
4.719 0.000 0.000
0.000 4.719 0.000
2.359 2.359 4.877
```



Record 8
Computed, not measured: a relaxed Si3BPd crystal at the PBE level of DFT. Values from VASP.

## Properties
SG = Pm-3m
polymorph energy (0 for the lowest one) = 0 meV/atom
energy relative to the elements, uncorrected = 0.5143 eV/atom
E_tot = -0.1879 hartree per atom
DOS(E_F) = 2.52 states/eV/f.u.

```
&SYSTEM
  ibrav = 0, nat = 5, ntyp = 3
/
ATOMIC_SPECIES
Si 28.09 Si.upf
Pd 106.42 Pd.upf
B 10.81 B.upf
ATOMIC_POSITIONS angstrom
Si 0.000 0.000 2.054
Si 2.054 0.000 0.000
Si 0.000 2.054 0.000
Pd 2.054 2.054 2.054
B 0.000 0.000 0.000
CELL_PARAMETERS angstrom
4.108 0.000 0.000
0.000 4.108 0.000
0.000 0.000 4.108
```



Record 9
Computed, not measured: a relaxed SrSiBPd6 crystal at the PBE level of DFT. Values from VASP.

## Properties
SG = Imma
energy relative to the elements, uncorrected = -0.3808 eV/atom
E_tot = -0.1975 hartree per atom
DOS(E_F) = 3.70 states/eV/f.u.

```
&SYSTEM
  ibrav = 0, nat = 18, ntyp = 4
/
ATOMIC_SPECIES
Sr 87.62 Sr.upf
Pd 106.42 Pd.upf
Si 28.09 Si.upf
B 10.81 B.upf
ATOMIC_POSITIONS angstrom
Sr 0.029 0.945 2.636
Sr -3.785 1.995 3.607
Pd 0.633 -1.124 6.198
Pd -4.698 -1.228 4.891
Pd -5.287 0.494 0.715
Pd -1.465 1.942 5.742
Pd -2.291 0.999 0.501
Pd -0.371 3.847 3.889
Pd -2.054 3.664 1.566
Pd -3.385 -0.907 2.354
Pd 0.942 4.169 1.352
Pd -4.389 4.064 0.045
Pd 1.531 2.447 5.528
Pd -1.702 -0.723 4.677
Si 1.175 3.635 -0.917
Si -2.412 3.030 -0.660
B -3.586 -0.605 0.256
B -3.053 -2.164 4.038
CELL_PARAMETERS angstrom
-7.173 -1.210 0.513
1.067 -3.119 7.564
2.350 7.269 -1.834
```



Record 10
Computed, not measured: a relaxed Zn2SiBPd crystal at the PBE level of DFT. Values from VASP.

## Properties
SG = P4/mmm
energy relative to the elements, uncorrected = 0.7749 eV/atom
E_tot = -0.1174 hartree per atom
DOS(E_F) = 2.62 states/eV/f.u.

```
&SYSTEM
  ibrav = 0, nat = 5, ntyp = 4
/
ATOMIC_SPECIES
Zn 65.41 Zn.upf
B 10.81 B.upf
Si 28.09 Si.upf
Pd 106.42 Pd.upf
ATOMIC_POSITIONS angstrom
Zn -1.206 -1.296 1.586
Zn 2.028 -1.017 0.711
B -0.226 -1.329 -1.257
Si 0.000 0.000 0.000
Pd 0.596 -3.642 1.040
CELL_PARAMETERS angstrom
-2.412 -2.593 3.173
-0.451 -2.657 -2.515
4.056 -2.033 1.421
```



Record 11
Computed, not measured: a relaxed SmB2Pd7 crystal at the PBE level of DFT. Values from VASP.

## Properties
SG = Cmmm
E_tot = -0.2097 hartree per atom
DOS(E_F) = 4.95 states/eV/f.u.

```
&SYSTEM
  ibrav = 0, nat = 10, ntyp = 3
/
ATOMIC_SPECIES
Pd 106.42 Pd.upf
B 10.81 B.upf
Sm 150.36 Sm.upf
ATOMIC_POSITIONS angstrom
Pd 2.112 4.313 4.148
Pd 2.112 1.820 5.700
Pd 2.112 1.897 3.046
Pd 2.112 1.974 0.392
Pd 0.000 3.505 2.044
Pd 2.112 -0.519 1.944
Pd 0.000 0.288 4.048
B 2.112 3.809 1.855
B 2.112 -0.015 4.237
Sm 0.000 0.000 0.000
CELL_PARAMETERS angstrom
4.224 0.000 0.000
0.000 6.483 0.190
0.000 -2.689 5.902
```



Record 12
Computed, not measured: a relaxed Sn2BPd8 crystal at the PBE level of DFT. Values from VASP.

## Properties
SG = C2/m
E_tot = -0.2009 hartree per atom
DOS(E_F) = 4.93 states/eV/f.u.

```
&SYSTEM
  ibrav = 0, nat = 11, ntyp = 3
/
ATOMIC_SPECIES
Pd 106.42 Pd.upf
B 10.81 B.upf
Sn 118.71 Sn.upf
ATOMIC_POSITIONS angstrom
Pd -0.930 -3.803 3.481
Pd -2.446 -4.714 1.209
Pd -1.674 -1.341 4.740
Pd -1.421 -4.701 -1.470
Pd -4.227 -2.371 5.204
Pd -2.165 -2.239 -0.210
Pd 1.132 -3.671 -1.933
Pd -0.649 -1.328 2.061
B -2.145 -0.228 -0.822
Sn -3.227 -2.383 2.598
Sn 0.132 -3.659 0.672
CELL_PARAMETERS angstrom
-4.289 -0.456 -1.644
1.500 -4.841 -2.570
-0.306 -0.745 7.485
```